[1]
This record from the Alexandria database describes a geometry-optimized Cs3SrNd2Se6 structure. The functional is GGA-PBE.

Output
The calculation puts the total energy at -0.165 hartree per atom. The crystal system is monoclinic. As for the uncorrected formation energy: -36.6 kcal/mol of atoms.

```
data_Cs3SrNd2Se6
_cell_length_a 7.743
_cell_length_b 13.410
_cell_length_c 8.790
_cell_angle_alpha 90.00
_cell_angle_beta 107.08
_cell_angle_gamma 90.00
_space_group_name_H-M_alt 'C 1 2/m 1'
_space_group_IT_number 12
_space_group_name_Hall '-C 2y'
loop_
_atom_site_label
_atom_site_fract_x
_atom_site_fract_y
_atom_site_fract_z
Cs1 0.000 0.000 0.000
Cs2 0.000 0.337 0.000
Sr1 0.000 0.500 0.500
Nd1 0.000 0.167 0.500
Se1 0.216 0.000 0.691
Se2 0.239 0.326 0.693
```



[2]
This record from the Alexandria database describes a geometry-optimized Cs3Nd3TaSe8 structure. The functional is GGA-PBE.

Output
The calculation puts the total energy at -0.193 hartree per atom. The crystal system is trigonal. As for the uncorrected formation energy: -34.0 kcal/mol of atoms.

```
data_Cs3Nd3TaSe8
_cell_length_a 8.4480
_cell_length_b 8.4480
_cell_length_c 25.7963
_cell_angle_alpha 90.00
_cell_angle_beta 90.00
_cell_angle_gamma 120.00
_space_group_name_H-M_alt 'R -3 m'
_space_group_IT_number 166
_space_group_name_Hall '-R 3 2"'
loop_
_atom_site_label
_atom_site_fract_x
_atom_site_fract_y
_atom_site_fract_z
Cs1 0.0000 0.5000 0.0000
Nd1 0.0000 0.5000 0.5000
Ta1 0.0000 0.0000 0.5000
Se1 0.0000 0.0000 0.2313
Se2 0.0324 0.5162 0.2261
```